No. 1
# Sm3Zn8Ni3 | Alexandria via LeMat-Bulk | PBE-GGA | optimized geometry
# - D(E_F): 20.08 states/eV per cell
# - Energy of formation: -332 meV per atom
# - Theoretical density: 7.75 g/cm3
# - Volume: 492.88 Å³ per cell
# - Crystal system: orthorhombic
data_Sm3Zn8Ni3
_chemical_formula_sum 'Sm6 Zn16 Ni6'
_symmetry_space_group_name_H-M 'I m m m'
_symmetry_Int_Tables_number 71
_symmetry_space_group_name_Hall '-I 2 2'
_cell_length_a 4.240
_cell_length_b 9.309
_cell_length_c 12.486
_cell_angle_alpha 90.00
_cell_angle_beta 90.00
_cell_angle_gamma 90.00
loop_
_atom_site_label
_atom_site_fract_x
_atom_site_fract_y
_atom_site_fract_z
Sm1 0.000 0.000 0.000
Sm2 0.000 0.000 0.323
Zn1 0.000 0.284 0.115
Zn2 0.000 0.358 0.330
Ni1 0.000 0.212 0.500
Ni2 0.000 0.500 0.000


No. 2
# Li2GeAu8 | Alexandria via LeMat-Bulk | PBE-GGA | optimized geometry
# - D(E_F): 6.17 states/eV per cell
# - Energy of formation: -204 meV per atom
# - Theoretical density: 14.11 g/cm3
# - Volume: 391.19 Å³ per cell
# - Crystal system: monoclinic
data_Li2GeAu8
_chemical_formula_sum 'Li4 Ge2 Au16'
_symmetry_space_group_name_H-M 'C 1 2/m 1'
_symmetry_Int_Tables_number 12
_symmetry_space_group_name_Hall '-C 2y'
_cell_length_a 15.105
_cell_length_b 4.606
_cell_length_c 6.141
_cell_angle_alpha 90.00
_cell_angle_beta 113.71
_cell_angle_gamma 90.00
loop_
_atom_site_label
_atom_site_fract_x
_atom_site_fract_y
_atom_site_fract_z
Li1 0.190 0.000 0.188
Ge1 0.000 0.500 0.500
Au1 0.001 0.000 0.237
Au2 0.137 0.500 0.912
Au3 0.140 0.500 0.368
Au4 0.186 0.000 0.689


No. 3
# PmMnZnC | Alexandria via LeMat-Bulk | PBE-GGA | optimized geometry
# - D(E_F): 5.20 states/eV per cell
# - Energy of formation: -125 meV per atom
# - Theoretical density: 7.19 g/cm3
# - Volume: 128.05 Å³ per cell
# - Crystal system: tetragonal
data_PmMnZnC
_chemical_formula_sum 'Pm2 Mn2 Zn2 C2'
_symmetry_space_group_name_H-M 'P 4/n m m'
_symmetry_Int_Tables_number 129
_cell_length_a 3.444
_cell_length_b 3.444
_cell_length_c 10.798
_cell_angle_alpha 90.00
_cell_angle_beta 90.00
_cell_angle_gamma 90.00
loop_
_symmetry_equiv_pos_as_xyz
'x,y,z'
'-x,-y,-z'
'-y+1/2,x,z'
'y+1/2,-x,-z'
'-x+1/2,-y+1/2,z'
'x+1/2,y+1/2,-z'
'y,-x+1/2,z'
'-y,x+1/2,-z'
'x+1/2,-y,-z'
'-x+1/2,y,z'
'-y,-x,-z'
'y,x,z'
'-x,y+1/2,-z'
'x,-y+1/2,z'
'y+1/2,x+1/2,-z'
'-y+1/2,-x+1/2,z'
loop_
_atom_site_label
_atom_site_fract_x
_atom_site_fract_y
_atom_site_fract_z
Pm1 0.250 0.250 0.232
Mn1 0.250 0.750 0.000
Zn1 0.250 0.750 0.500
C1 0.250 0.250 0.898


No. 4
# Sc6TlPd2 | Alexandria via LeMat-Bulk | PBE-GGA | optimized geometry
# - D(E_F): 37.19 states/eV per cell
# - Energy of formation: -489 meV per atom
# - Theoretical density: 5.75 g/cm3
# - Volume: 794.03 Å³ per cell
# - Crystal system: orthorhombic
data_Sc6TlPd2
_chemical_formula_sum 'Sc24 Tl4 Pd8'
_symmetry_space_group_name_H-M 'I m m m'
_symmetry_Int_Tables_number 71
_symmetry_space_group_name_Hall '-I 2 2'
_cell_length_a 8.960
_cell_length_b 9.126
_cell_length_c 9.710
_cell_angle_alpha 90.00
_cell_angle_beta 90.00
_cell_angle_gamma 90.00
loop_
_atom_site_label
_atom_site_fract_x
_atom_site_fract_y
_atom_site_fract_z
Sc1 0.000 0.206 0.238
Sc2 0.209 0.500 0.173
Sc3 0.210 0.312 0.500
Tl1 0.000 0.000 0.000
Tl2 0.000 0.000 0.500
Pd1 0.000 0.347 0.000
Pd2 0.000 0.500 0.361


No. 5
# Zr4ReNi | Alexandria via LeMat-Bulk | PBE-GGA | optimized geometry
# - D(E_F): 55.22 states/eV per cell
# - Energy of formation: 757 meV per atom
# - Theoretical density: 8.46 g/cm3
# - Volume: 478.76 Å³ per cell
# - Crystal system: cubic
data_Zr4ReNi
_chemical_formula_sum 'Zr16 Re4 Ni4'
_symmetry_space_group_name_H-M 'F -4 3 m'
_symmetry_Int_Tables_number 216
_symmetry_space_group_name_Hall 'F -4 2 3'
_cell_length_a 7.823
_cell_length_b 7.823
_cell_length_c 7.823
_cell_angle_alpha 90.00
_cell_angle_beta 90.00
_cell_angle_gamma 90.00
loop_
_atom_site_label
_atom_site_fract_x
_atom_site_fract_y
_atom_site_fract_z
Zr1 0.124 0.124 0.376
Re1 0.250 0.250 0.750
Ni1 0.000 0.000 0.000


No. 6
# HfAsBr3 | Alexandria via LeMat-Bulk | PBE-GGA | optimized geometry
# - D(E_F): 7.01 states/eV per cell
# - Theoretical density: 5.33 g/cm3
# - Volume: 153.57 Å³ per cell
# - E_form (uncorrected): 0.6505 eV per atom
# - Crystal system: cubic
data_HfAsBr3
_chemical_formula_sum 'Hf1 As1 Br3'
_symmetry_space_group_name_H-M 'P m -3 m'
_symmetry_Int_Tables_number 221
_symmetry_space_group_name_Hall '-P 4 2 3'
_cell_length_a 5.355
_cell_length_b 5.355
_cell_length_c 5.355
_cell_angle_alpha 90.00
_cell_angle_beta 90.00
_cell_angle_gamma 90.00
loop_
_atom_site_label
_atom_site_fract_x
_atom_site_fract_y
_atom_site_fract_z
Hf1 0.000 0.000 0.000
As1 0.500 0.500 0.500
Br1 0.000 0.500 0.500


No. 7
# SmZn2Hg | Alexandria via LeMat-Bulk | PBE-GGA | optimized geometry
# - D(E_F): 5.98 states/eV per cell
# - Energy of formation: -101 meV per atom
# - Theoretical density: 8.76 g/cm3
# - Volume: 182.67 Å³ per cell
# - Crystal system: orthorhombic
data_SmZn2Hg
_chemical_formula_sum 'Sm2 Zn4 Hg2'
_symmetry_space_group_name_H-M 'A m m 2'
_symmetry_Int_Tables_number 38
_symmetry_space_group_name_Hall 'A 2 -2'
_cell_length_a 4.669
_cell_length_b 5.739
_cell_length_c 6.816
_cell_angle_alpha 90.00
_cell_angle_beta 90.00
_cell_angle_gamma 90.00
loop_
_atom_site_label
_atom_site_fract_x
_atom_site_fract_y
_atom_site_fract_z
Sm1 0.000 0.000 0.000
Zn1 0.000 0.000 0.547
Zn2 0.500 0.000 0.705
Hg1 0.500 0.000 0.304


No. 8
# CaAcErAl | Alexandria via LeMat-Bulk | PBE-GGA | optimized geometry
# - D(E_F): 10.96 states/eV per cell
# - Energy of formation: 2 meV per atom
# - Theoretical density: 6.17 g/cm3
# - Volume: 496.54 Å³ per cell
# - Crystal system: cubic
data_CaAcErAl
_chemical_formula_sum 'Ca4 Ac4 Er4 Al4'
_symmetry_space_group_name_H-M 'F -4 3 m'
_symmetry_Int_Tables_number 216
_symmetry_space_group_name_Hall 'F -4 2 3'
_cell_length_a 7.919
_cell_length_b 7.919
_cell_length_c 7.919
_cell_angle_alpha 90.00
_cell_angle_beta 90.00
_cell_angle_gamma 90.00
loop_
_atom_site_label
_atom_site_fract_x
_atom_site_fract_y
_atom_site_fract_z
Ca1 0.000 0.000 0.000
Ac1 0.250 0.250 0.750
Er1 0.250 0.250 0.250
Al1 0.000 0.000 0.500


No. 9
# NaHfSN2 | Alexandria via LeMat-Bulk | PBE-GGA | optimized geometry
# - D(E_F): 2.30 states/eV per cell
# - Theoretical density: 4.70 g/cm3
# - Volume: 92.41 Å³ per cell
# - E_form (uncorrected): -0.1667 eV per atom
# - Crystal system: tetragonal
data_NaHfSN2
_chemical_formula_sum 'Na1 Hf1 S1 N2'
_symmetry_space_group_name_H-M 'P 4/m m m'
_symmetry_Int_Tables_number 123
_symmetry_space_group_name_Hall '-P 4 2'
_cell_length_a 4.271
_cell_length_b 4.271
_cell_length_c 5.067
_cell_angle_alpha 90.00
_cell_angle_beta 90.00
_cell_angle_gamma 90.00
loop_
_atom_site_label
_atom_site_fract_x
_atom_site_fract_y
_atom_site_fract_z
Na1 0.000 0.000 0.000
Hf1 0.500 0.500 0.500
S1 0.500 0.500 0.000
N1 0.000 0.500 0.500


No. 10
# Co2RhAu | Alexandria via LeMat-Bulk | PBE-GGA | optimized geometry
# - D(E_F): 3.82 states/eV per cell
# - Energy of formation: 166 meV per atom
# - Theoretical density: 12.59 g/cm3
# - Volume: 55.10 Å³ per cell
# - Crystal system: monoclinic
data_Co2RhAu
_chemical_formula_sum 'Co2 Rh1 Au1'
_symmetry_space_group_name_H-M 'P 1 m 1'
_symmetry_Int_Tables_number 6
_symmetry_space_group_name_Hall 'P -2y'
_cell_length_a 2.717
_cell_length_b 4.051
_cell_length_c 5.182
_cell_angle_alpha 90.00
_cell_angle_beta 105.07
_cell_angle_gamma 90.00
loop_
_atom_site_label
_atom_site_fract_x
_atom_site_fract_y
_atom_site_fract_z
Co1 0.000 0.000 0.000
Co2 0.124 0.500 0.245
Rh1 0.724 0.000 0.448
Au1 0.384 0.500 0.767


No. 11
# NaCa2Dy | Alexandria via LeMat-Bulk | PBE-GGA | optimized geometry
# - D(E_F): 13.10 states/eV per cell
# - Energy of formation: 100 meV per atom
# - Theoretical density: 2.92 g/cm3
# - Volume: 452.44 Å³ per cell
# - Crystal system: trigonal
data_NaCa2Dy
_chemical_formula_sum 'Na3 Ca6 Dy3'
_symmetry_space_group_name_H-M 'R 3 m'
_symmetry_Int_Tables_number 160
_symmetry_space_group_name_Hall 'R 3 -2"'
_cell_length_a 3.7636
_cell_length_b 3.7636
_cell_length_c 36.8821
_cell_angle_alpha 90.00
_cell_angle_beta 90.00
_cell_angle_gamma 120.00
loop_
_atom_site_label
_atom_site_fract_x
_atom_site_fract_y
_atom_site_fract_z
Na1 0.0000 0.0000 0.0000
Ca1 0.0000 0.0000 0.4201
Ca2 0.0000 0.0000 0.5799
Dy1 0.0000 0.0000 0.8334


No. 12
# CeHoGaRh | Alexandria via LeMat-Bulk | PBE-GGA | optimized geometry
# - D(E_F): 20.76 states/eV per cell
# - Energy of formation: -586 meV per atom
# - Theoretical density: 9.00 g/cm3
# - Volume: 352.48 Å³ per cell
# - Crystal system: cubic
data_CeHoGaRh
_chemical_formula_sum 'Ce4 Ho4 Ga4 Rh4'
_symmetry_space_group_name_H-M 'F -4 3 m'
_symmetry_Int_Tables_number 216
_symmetry_space_group_name_Hall 'F -4 2 3'
_cell_length_a 7.064
_cell_length_b 7.064
_cell_length_c 7.064
_cell_angle_alpha 90.00
_cell_angle_beta 90.00
_cell_angle_gamma 90.00
loop_
_atom_site_label
_atom_site_fract_x
_atom_site_fract_y
_atom_site_fract_z
Ce1 0.000 0.000 0.000
Ho1 0.000 0.000 0.500
Ga1 0.250 0.250 0.750
Rh1 0.250 0.250 0.250